Record 1
DFT (GGA-PBE) results for an optimized crystal structure of Tb2AlGeAu6.

Calculated values
Formation energy in meV/atom: -489

Cell and atoms, written as POSCAR:
```
Tb2AlGeAu6
1.0
5.431 0.000 0.000
1.945 6.209 0.000
2.686 -0.293 6.277
Tb Al Ge Au
2 1 1 6
direct
0.239 0.233 0.249
0.761 0.767 0.751
0.500 0.500 0.500
0.000 0.000 0.000
0.197 0.744 0.310
0.247 0.583 0.903
0.341 0.164 0.674
0.659 0.836 0.326
0.753 0.417 0.097
0.803 0.256 0.690
```



Record 2
DFT (GGA-PBE) results for an optimized crystal structure of K5H3Br2.

Calculated values
Raw total energy in eV/cell: -27.0

Cell and atoms, written as POSCAR:
```
K5H3Br2
1.0
7.441 -2.178 0.000
7.441 2.178 0.000
-6.079 0.000 8.835
K H Br
5 3 2
direct
0.000 0.000 0.000
0.082 0.082 0.409
0.311 0.311 0.182
0.689 0.689 0.818
0.918 0.918 0.591
0.113 0.113 0.876
0.500 0.500 0.500
0.887 0.887 0.124
0.325 0.325 0.734
0.675 0.675 0.266
```



Table of D(E_F) (states/eV/f.u.), in record order: 3.9; 0.0